The following is a PBE calculation of crystalline Ta2SnAu at its relaxed geometry, from OQMD via LeMat-Bulk.

Cell lengths 4.766, 4.766, 4.766 Å; angles 60.00, 60.00, 60.00 degrees
Fractional coordinates of all 4 atoms:
Ta1 0.000 0.000 0.000
Ta2 0.250 0.250 0.250
Sn1 0.500 0.500 0.500
Au1 0.750 0.750 0.750

## Properties
volume	19.1	Å³/atom
magnetic moment	0.0	μB per formula unit
VASP energy	-7.36	eV per atom


The following is a PBE calculation of crystalline AuCl6O at its relaxed geometry, from OQMD via LeMat-Bulk.

Cell lengths 6.281, 6.281, 6.281 Å; angles 60.00, 60.00, 60.00 degrees
Fractional coordinates of all 8 atoms:
Au1 0.000 0.000 0.000
Cl1 0.002 0.002 0.498
Cl2 0.002 0.498 0.002
Cl3 0.002 0.498 0.498
Cl4 0.498 0.002 0.002
Cl5 0.498 0.002 0.498
Cl6 0.498 0.498 0.002
O1 0.250 0.250 0.250

## Properties
volume	21.9	Å³/atom
VASP energy	-1.65	eV per atom


The following is a PBE calculation of crystalline SiTc2W at its relaxed geometry, from OQMD via LeMat-Bulk.

Cell lengths 4.132, 4.132, 8.313 Å; angles 90.00, 90.00, 120.00 degrees
Fractional coordinates of all 8 atoms:
Si1 0.000 0.000 0.000
Si2 0.000 0.000 0.500
Tc1 0.333 0.667 0.097
Tc2 0.333 0.667 0.403
Tc3 0.667 0.333 0.597
Tc4 0.667 0.333 0.903
W1 0.333 0.667 0.750
W2 0.667 0.333 0.250

## Properties
volume	15.4	Å³/atom
magnetic moment	0.0	μB per formula unit
VASP energy	-9.79	eV per atom


The following is a PBE calculation of crystalline PrMgAgSeS2 at its relaxed geometry, from OQMD via LeMat-Bulk.

Cell lengths 6.787, 6.787, 11.064 Å; angles 90.00, 90.00, 146.74 degrees
Fractional coordinates of all 12 atoms:
Pr1 0.000 0.000 0.000
Pr2 0.000 0.000 0.500
Mg1 0.219 0.781 0.750
Mg2 0.781 0.219 0.250
Ag1 0.486 0.514 0.250
Ag2 0.514 0.486 0.750
Se1 0.125 0.875 0.250
Se2 0.875 0.125 0.750
S1 0.356 0.644 0.084
S2 0.356 0.644 0.416
S3 0.644 0.356 0.584
S4 0.644 0.356 0.916

## Properties
volume	23.3	Å³/atom
magnetic moment	0.0	μB per formula unit
VASP energy	-4.61	eV per atom